{"formula": "Ho5Bi2PC", "functional": "PBE", "state": "optimized geometry", "cell": [[-3.863, 1.138, -2.265], [-0.588, -4.418, -1.218], [-5.830, -1.725, 9.074]], "species": ["Ho", "Ho", "Ho", "Ho", "Ho", "Bi", "Bi", "P", "C"], "fractional_positions": [[0.000, 0.500, 0.500], [0.500, 0.000, 0.500], [0.000, 0.000, 0.750], [0.000, 0.000, 0.250], [0.500, 0.500, 0.000], [0.500, 0.500, 0.285], [0.500, 0.500, 0.715], [0.000, 0.000, 0.000], [0.000, 0.000, 0.500]], "spacegroup": "P4/mmm (123)", "energy_ev_per_cell": -51.664, "m_tot_mub_per_fu": 0.000, "formation_energy_ev_per_atom": -0.71}



{"formula": "BePIrF2", "functional": "PBE", "state": "optimized geometry", "cell": [[3.936, 0.000, 0.000], [0.000, 4.901, 0.000], [0.000, 0.000, 3.936]], "species": ["P", "Ir", "Be", "F", "F"], "fractional_positions": [[0.500, 0.500, 0.500], [0.000, 0.000, 0.000], [0.000, 0.500, 0.000], [0.000, 0.000, 0.500], [0.500, 0.000, 0.000]], "spacegroup": "P4/mmm (123)", "formation_energy_uncorrected_mev_per_atom": 164, "energy_ev_per_cell": -20.922, "m_tot_mub_per_fu": 1.871}



{"formula": "SrCaPb2", "functional": "PBE", "state": "optimized geometry", "cell": [[-3.138, -2.902, -3.503], [0.305, -4.635, -2.994], [-2.996, -4.661, 4.395]], "species": ["Pb", "Pb", "Sr", "Ca"], "fractional_positions": [[0.997, 0.997, 0.032], [0.503, 0.503, 0.468], [0.750, 0.750, 0.750], [0.250, 0.250, 0.250]], "spacegroup": "C2/m (12)", "energy_ev_per_cell": -12.796, "m_tot_mub_per_fu": 0.000, "formation_energy_ev_per_atom": -0.42}



{"formula": "LaTlMo2", "functional": "PBE", "state": "optimized geometry", "cell": [[3.310, 0.000, 0.000], [0.000, 3.299, 0.003], [0.000, 3.280, 8.109]], "species": ["La", "Mo", "Mo", "Tl"], "fractional_positions": [[0.500, 0.721, 0.779], [0.000, 0.945, 0.055], [0.500, 0.290, 0.209], [0.000, 0.544, 0.456]], "spacegroup": "Pm (6)", "energy_ev_per_cell": -28.170, "m_tot_mub_per_fu": 0.000, "formation_energy_ev_per_atom": 0.20}



{"formula": "YHoBiTe", "functional": "PBE", "state": "optimized geometry", "cell": [[-2.136, -1.363, -3.504], [4.093, -1.234, 0.654], [-2.396, -4.776, 5.984]], "species": ["Y", "Ho", "Bi", "Te"], "fractional_positions": [[0.476, 0.136, 0.627], [0.129, 0.963, 0.107], [0.307, 0.552, 0.874], [0.966, 0.381, 0.362]], "spacegroup": "R3m (160)", "formation_energy_uncorrected_mev_per_atom": -1042, "energy_ev_per_cell": -22.234, "m_tot_mub_per_fu": 0.308}



{"formula": "Pm2Er4Tm3", "functional": "PBE", "state": "optimized geometry", "cell": [[5.771, 1.608, 1.151], [2.386, 10.878, 0.697], [2.386, 4.165, 10.073]], "species": ["Pm", "Pm", "Pm", "Pm", "Er", "Er", "Er", "Er", "Er", "Er", "Er", "Er", "Tm", "Tm", "Tm", "Tm", "Tm", "Tm"], "fractional_positions": [[0.422, 0.232, 0.524], [0.078, 0.476, 0.768], [0.578, 0.768, 0.476], [0.922, 0.524, 0.232], [0.421, 0.906, 0.188], [0.079, 0.812, 0.094], [0.579, 0.094, 0.812], [0.921, 0.188, 0.906], [0.084, 0.145, 0.423], [0.416, 0.577, 0.855], [0.916, 0.855, 0.577], [0.584, 0.423, 0.145], [0.764, 0.067, 0.263], [0.736, 0.737, 0.933], [0.236, 0.933, 0.737], [0.264, 0.263, 0.067], [0.250, 0.598, 0.402], [0.750, 0.402, 0.598]], "spacegroup": "C2/c (15)", "energy_ev_per_cell": -80.602, "m_tot_mub_per_fu": 0.001, "formation_energy_ev_per_atom": 0.10}